Material: Hf8Ti2Sb
Method: DFT, PBE
State: relaxed

As for the crystal system: monoclinic. The calculation puts the raw formation energy at 0.07 eV per atom.

It has space group C2/m (No. 12), with a = 7.711 Å, b = 13.387 Å, c = 5.177 Å, α = 90.00°, β = 114.53° and γ = 90.00°. The distinct sites, in fractional coordinates, are Hf at (0.000, 0.221, 0.000), Hf at (0.090, 0.500, 0.790), Hf at (0.213, 0.115, 0.644), Ti at (0.000, 0.299, 0.500) and Sb at (0.000, 0.000, 0.000).